PRh2Br: relaxed, PBE.

a b c (Å): 4.4572 4.4572 3.0906
angles (deg): 90.00 90.00 90.00
Last column: nearest neighbours and their distance in Å.
Positions (direct):
1 P 0.0000 0.0000 0.0000  8 Rh 2.71
2 Rh 0.0000 0.5000 0.5000  4 Br 2.71, 4 P 2.71
3 Rh 0.5000 0.0000 0.5000  4 Br 2.71, 4 P 2.71
4 Br 0.5000 0.5000 0.0000  8 Rh 2.71

Values from the calculation:
crystal system: tetragonal
calculated volume: 15.35 Å³ per atom


PRh2Br: relaxed, PBE.

a b c (Å): 3.6142 3.6142 9.7366
angles (deg): 90.00 90.00 90.00
Last column: nearest neighbours and their distance in Å.
Positions (direct):
1 P 0.0000 0.0000 0.0000  4 Rh 2.56
2 P 0.5000 0.5000 0.5000  4 Rh 2.56
3 Rh 0.0000 0.0000 0.5000  4 P 2.56
4 Rh 0.0000 0.5000 0.7500  4 Br 2.56
5 Rh 0.5000 0.0000 0.2500  4 Br 2.56
6 Rh 0.5000 0.5000 0.0000  4 P 2.56
7 Br 0.0000 0.5000 0.2500  4 Rh 2.56
8 Br 0.5000 0.0000 0.7500  4 Rh 2.56

Values from the calculation:
crystal system: tetragonal
calculated volume: 15.90 Å³ per atom


PRh2Br: relaxed, PBE.

a b c (Å): 5.7022 6.9548 6.9833
angles (deg): 90.00 90.00 90.00
Last column: nearest neighbours and their distance in Å.
Positions (direct):
1 P 0.0000 0.0000 0.0000  4 Rh 2.46
2 P 0.0000 0.5000 0.5000  4 Rh 2.46
3 P 0.5000 0.0000 0.5000  4 Rh 2.46
4 P 0.5000 0.5000 0.0000  4 Rh 2.46
5 Rh 0.0000 0.2500 0.2500  2 Br 2.46, 2 P 2.46
6 Rh 0.0000 0.2500 0.7500  2 Br 2.46, 2 P 2.46
7 Rh 0.0000 0.7500 0.2500  2 Br 2.46, 2 P 2.46
8 Rh 0.0000 0.7500 0.7500  2 Br 2.46, 2 P 2.46
9 Rh 0.5000 0.2500 0.2500  2 Br 2.46, 2 P 2.46
10 Rh 0.5000 0.2500 0.7500  2 Br 2.46, 2 P 2.46
11 Rh 0.5000 0.7500 0.2500  2 Br 2.46, 2 P 2.46
12 Rh 0.5000 0.7500 0.7500  2 Br 2.46, 2 P 2.46
13 Br 0.0000 0.0000 0.5000  4 Rh 2.46
14 Br 0.0000 0.5000 0.0000  4 Rh 2.46
15 Br 0.5000 0.0000 0.0000  4 Rh 2.46
16 Br 0.5000 0.5000 0.5000  4 Rh 2.46

Values from the calculation:
crystal system: orthorhombic
calculated volume: 17.31 Å³ per atom


PRh2Br: relaxed, PBE.

a b c (Å): 6.3506 6.3506 6.3506
angles (deg): 90.00 90.00 90.00
Last column: nearest neighbours and their distance in Å.
Positions (direct):
1 P 0.0000 0.0000 0.0000  4 Br 2.75, 4 Rh 2.75
2 P 0.0000 0.5000 0.5000  4 Br 2.75, 4 Rh 2.75
3 P 0.5000 0.0000 0.5000  4 Br 2.75, 4 Rh 2.75
4 P 0.5000 0.5000 0.0000  4 Br 2.75, 4 Rh 2.75
5 Rh 0.0000 0.0000 0.5000  4 Rh 2.75, 4 Br 2.75
6 Rh 0.0000 0.5000 0.0000  4 Rh 2.75, 4 Br 2.75
7 Rh 0.2500 0.2500 0.2500  4 P 2.75, 4 Rh 2.75
8 Rh 0.2500 0.7500 0.7500  4 P 2.75, 4 Rh 2.75
9 Rh 0.5000 0.0000 0.0000  4 Rh 2.75, 4 Br 2.75
10 Rh 0.5000 0.5000 0.5000  4 Rh 2.75, 4 Br 2.75
11 Rh 0.7500 0.2500 0.7500  4 P 2.75, 4 Rh 2.75
12 Rh 0.7500 0.7500 0.2500  4 Rh 2.75, 4 P 2.75
13 Br 0.2500 0.2500 0.7500  4 Rh 2.75, 4 P 2.75
14 Br 0.2500 0.7500 0.2500  4 Rh 2.75, 4 P 2.75
15 Br 0.7500 0.2500 0.2500  4 Rh 2.75, 4 P 2.75
16 Br 0.7500 0.7500 0.7500  4 Rh 2.75, 4 P 2.75

Values from the calculation:
crystal system: cubic
calculated volume: 16.01 Å³ per atom


PRhBr3: relaxed, PBE.

a b c (Å): 5.1082 5.1082 5.1082
angles (deg): 90.00 90.00 90.00
Last column: nearest neighbours and their distance in Å.
Positions (direct):
1 P 0.0000 0.0000 0.0000  6 Br 2.55
2 Rh 0.5000 0.5000 0.5000  12 Br 3.61
3 Br 0.0000 0.0000 0.5000  2 P 2.55
4 Br 0.0000 0.5000 0.0000  2 P 2.55
5 Br 0.5000 0.0000 0.0000  2 P 2.55

Values from the calculation:
crystal system: cubic
calculated volume: 26.66 Å³ per atom


PRh2Br: relaxed, PBE.

a b c (Å): 6.2444 3.6044 6.5176
angles (deg): 90.00 108.73 90.00
Last column: nearest neighbours and their distance in Å.
Positions (direct):
1 P 0.0000 0.0000 0.0000  6 Rh 2.32
2 P 0.5000 0.5000 0.0000  6 Rh 2.32
3 Rh 0.2220 0.5000 0.1651  3 P 2.32
4 Rh 0.2780 0.0000 0.8349  3 P 2.32
5 Rh 0.7220 0.0000 0.1651  3 P 2.32
6 Rh 0.7780 0.5000 0.8349  3 P 2.32
7 Br 0.0000 0.5000 0.5000  6 Rh 2.93-2.94
8 Br 0.5000 0.0000 0.5000  6 Rh 2.93-2.94

Values from the calculation:
crystal system: monoclinic
calculated volume: 17.37 Å³ per atom


PRh2Br: relaxed, PBE.

a b c (Å): 2.9925 2.9925 7.0913
angles (deg): 90.00 90.00 90.00
Last column: nearest neighbours and their distance in Å.
Positions (direct):
1 P 0.0000 0.0000 0.0000  8 Rh 2.50
2 Rh 0.5000 0.5000 0.1882  4 P 2.50, 1 Rh 2.67
3 Rh 0.5000 0.5000 0.8118  4 P 2.50, 1 Rh 2.67
4 Br 0.0000 0.0000 0.5000  4 Br 2.99, 8 Rh 3.06

Values from the calculation:
crystal system: tetragonal
calculated volume: 15.88 Å³ per atom


PRh2Br: relaxed, PBE.

a b c (Å): 6.3496 3.6301 6.5376
angles (deg): 90.00 97.93 90.00
Last column: nearest neighbours and their distance in Å.
Positions (direct):
1 P 0.0000 0.0000 0.0000  6 Rh 2.29-2.38
2 P 0.5000 0.5000 0.0000  6 Rh 2.29-2.38
3 Rh 0.1892 0.5000 0.1407  3 P 2.29-2.30, 1 Br 2.55
4 Rh 0.3020 0.0000 0.8370  3 P 2.32-2.38
5 Rh 0.6892 0.0000 0.1407  3 P 2.29-2.30, 1 Br 2.55
6 Rh 0.8020 0.5000 0.8370  3 P 2.32-2.38
7 Br 0.2030 0.5000 0.5324  3 Rh 2.55-2.70
8 Br 0.7030 0.0000 0.5324  3 Rh 2.55-2.70

Values from the calculation:
crystal system: monoclinic
calculated volume: 18.66 Å³ per atom


PRh2Br: relaxed, PBE.

a b c (Å): 3.3315 7.1899 7.2069
angles (deg): 90.00 90.00 90.00
Last column: nearest neighbours and their distance in Å.
Positions (direct):
1 P 0.0000 0.0000 0.0000  4 Rh 2.18
2 P 0.5000 0.5000 0.5000  4 Rh 2.18
3 Rh 0.0000 0.5000 0.3043  2 P 2.18
4 Rh 0.0000 0.5000 0.6957  2 P 2.18
5 Rh 0.5000 0.0000 0.1957  2 P 2.18
6 Rh 0.5000 0.0000 0.8043  2 P 2.18
7 Br 0.0000 0.0000 0.5000  4 Rh 2.75
8 Br 0.5000 0.5000 0.0000  4 Rh 2.75

Values from the calculation:
crystal system: orthorhombic
calculated volume: 21.58 Å³ per atom


PRh2Br: relaxed, PBE.

a b c (Å): 3.3673 3.3673 6.1737
angles (deg): 90.00 90.00 90.00
Last column: nearest neighbours and their distance in Å.
Positions (direct):
1 P 0.0000 0.0000 0.0000  5 Rh 2.16-2.40
2 Rh 0.0000 0.0000 0.3498  1 P 2.16
3 Rh 0.5000 0.5000 0.0520  4 P 2.40
4 Br 0.5000 0.5000 0.5872  5 Rh 2.80-2.87

Values from the calculation:
crystal system: tetragonal
calculated volume: 17.50 Å³ per atom


PRh2Br: relaxed, PBE.

a b c (Å): 3.9079 3.9923 5.5754
angles (deg): 90.00 90.24 90.00
Last column: nearest neighbours and their distance in Å.
Positions (direct):
1 P 0.0000 0.0000 0.0000  4 Rh 2.27-2.28
2 Rh 0.0011 0.5000 0.1935  2 P 2.27
3 Rh 0.5011 0.0000 0.2106  2 P 2.28
4 Br 0.5031 0.5000 0.5167  4 Rh 2.63-2.66

Values from the calculation:
crystal system: monoclinic
calculated volume: 21.75 Å³ per atom


PRhBr3: relaxed, PBE.

a b c (Å): 5.0674 5.0674 5.0674
angles (deg): 90.00 90.00 90.00
Last column: nearest neighbours and their distance in Å.
Positions (direct):
1 P 0.0000 0.0000 0.0000  12 Br 3.58
2 Rh 0.5000 0.5000 0.5000  6 Br 2.53
3 Br 0.0000 0.5000 0.5000  2 Rh 2.53
4 Br 0.5000 0.0000 0.5000  2 Rh 2.53
5 Br 0.5000 0.5000 0.0000  2 Rh 2.53

Values from the calculation:
crystal system: cubic
calculated volume: 26.03 Å³ per atom


Taking the records one at a time from the top gives offset from the most stable computed form values of 743, 859, 755, 1126, 166, 2, 389, 0, 369, 401, 261, 0 meV/atom.
Taking the records one at a time from the top gives energy relative to the elements, uncorrected values of 0.353, 0.469, 0.365, 0.736, 0.727, -0.388, -0.001, -0.390, -0.021, 0.011, -0.129, 0.561 eV per atom.
Taking the records one at a time from the top gives electronic total energy values of -5.09, -4.98, -5.08, -4.71, -2.83, -5.83, -5.45, -5.84, -5.47, -5.44, -5.58, -3.00 eV/atom.